Here is crystalline KLiCr2Re at its relaxed geometry from Alexandria. Energies are from PBE-GGA.

Formation energy from the elements = 1.033 eV per atom
Total magnetic moment = 0.937 μB per atom

a b c (Å): 4.666 4.666 5.457
angles (deg): 90.00 90.00 90.00
Space group P4/mmm (No. 123)
Symmetry-distinct sites (fractional):
K: 0.000 0.000 0.000
Li: 0.500 0.500 0.000
Cr: 0.000 0.500 0.500
Re: 0.500 0.500 0.500

=====

Here is crystalline KLi2CrS4 at its relaxed geometry from Alexandria. Energies are from PBE-GGA.

E_form (uncorrected) = -0.921 eV per atom
Total magnetic moment = 0.125 μB per atom

a b c (Å): 6.567 6.567 8.354
angles (deg): 90.00 90.00 90.00
Space group I-42m (No. 121)
Symmetry-distinct sites (fractional):
K: 0.000 0.000 0.000
Li: 0.000 0.500 0.250
Cr: 0.000 0.000 0.500
S: 0.186 0.186 0.650

=====

Here is crystalline KLiCr2S at its relaxed geometry from Alexandria. Energies are from PBE-GGA.

E_form (uncorrected) = 1.747 eV per atom
Total magnetic moment = 2.009 μB per atom

a b c (Å): 5.445 5.445 5.086
angles (deg): 90.00 90.00 90.00
Space group P4/mmm (No. 123)
Symmetry-distinct sites (fractional):
K: 0.000 0.000 0.000
Li: 0.000 0.000 0.500
Cr: 0.000 0.500 0.000
S: 0.500 0.500 0.500

=====

Here is crystalline K2LiCrS4 at its relaxed geometry from Alexandria. Energies are from PBE-GGA.

E_form (uncorrected) = -0.959 eV per atom
Total magnetic moment = 0.125 μB per atom

a b c (Å): 5.659 12.786 23.136
angles (deg): 90.00 90.00 90.00
Space group Fddd (No. 70, origin choice 2)
Symmetry-distinct sites (fractional):
K: 0.125 0.125 0.304
Li: 0.125 0.125 0.125
Cr: 0.125 0.125 0.625
S: 0.093 0.278 0.822

=====

Here is crystalline KMg6Cr at its relaxed geometry from Alexandria. Energies are from PBE-GGA.

Formation energy from the elements = 0.258 eV per atom
Total magnetic moment = 0.509 μB per atom
Relative energy among the computed polymorphs = 0.00 kJ per mole of atoms

a b c (Å): 3.745 10.178 10.346
angles (deg): 90.00 90.00 90.00
Space group Amm2 (No. 38)
Symmetry-distinct sites (fractional):
K: 0.000 0.000 0.000
Mg: 0.000 0.250 0.251
Mg: 0.500 0.000 0.286
Mg: 0.500 0.000 0.714
Mg: 0.500 0.214 0.501
Cr: 0.000 0.000 0.500

=====

Here is crystalline KMg6Cr at its relaxed geometry from Alexandria. Energies are from PBE-GGA.

Formation energy from the elements = 0.342 eV per atom
Total magnetic moment = 0.555 μB per atom
Relative energy among the computed polymorphs = 8.14 kJ per mole of atoms

a b c (Å): 5.228 6.555 11.920
angles (deg): 90.00 90.00 90.00
Space group Amm2 (No. 38)
Symmetry-distinct sites (fractional):
K: 0.000 0.000 0.000
Mg: 0.000 0.000 0.509
Mg: 0.000 0.243 0.758
Mg: 0.500 0.000 0.348
Mg: 0.500 0.234 0.606
Cr: 0.500 0.000 0.818

=====

Here is crystalline K4MgCr at its relaxed geometry from Alexandria. Energies are from PBE-GGA.

Formation energy from the elements = 0.718 eV per atom
Total magnetic moment = 0.858 μB per atom

a b c (Å): 10.637 10.637 10.637
angles (deg): 90.00 90.00 90.00
Space group F-43m (No. 216)
Symmetry-distinct sites (fractional):
K: 0.125 0.125 0.125
Mg: 0.250 0.250 0.750
Cr: 0.000 0.000 0.500

=====

Here is crystalline KMg4Cr at its relaxed geometry from Alexandria. Energies are from PBE-GGA.

Formation energy from the elements = 0.404 eV per atom
Total magnetic moment = 0.829 μB per atom

a b c (Å): 8.597 8.597 8.597
angles (deg): 90.00 90.00 90.00
Space group F-43m (No. 216)
Symmetry-distinct sites (fractional):
K: 0.000 0.000 0.000
Mg: 0.124 0.124 0.624
Cr: 0.250 0.250 0.250